MnRu2Au: optimized geometry, PBE.

Cell: 3.8636 3.8636 7.8287 Å, 90.00 90.00 90.00°
Closest atoms and distances in Å follow each position.
Space group I-4m2 (No. 119)
Inequivalent atoms, fractional coordinates:
Mn  0.0000  0.0000  0.0000  8 Ru 2.73-2.75, 4 Au 2.75
Ru  0.0000  0.0000  0.5000  4 Mn 2.73, 4 Ru 2.75, 4 Au 2.75
Ru  0.0000  0.5000  0.2500  4 Au 2.73, 4 Mn 2.75, 4 Ru 2.75
Au  0.0000  0.5000  0.7500  8 Ru 2.73-2.75, 4 Mn 2.75

Computed properties:
calculated volume = 14.608 Å³ per atom
D(E_F) = 4.0 states/eV/f.u.
total magnetic moment = 5.89 μB per cell
energy above the most stable polymorph in this dataset = 66 meV per atom
DFT total energy = -7.539 eV/atom
ΔH_f (0 K) = 0.211 eV per atom